Record 1
The following is a PBE calculation of an optimized crystal structure of Sr2HoSb3Pt4, from the Alexandria database.

a b c (Å): 4.6200 4.6200 11.3467
angles (deg): 90.00 90.00 90.00
Fractional coordinates of all 10 atoms:
Sr 0.5000 0.0000 0.2271
Sr 0.0000 0.5000 0.7729
Ho 0.5000 0.5000 0.5000
Sb 0.0000 0.0000 0.5000
Sb 0.5000 0.0000 0.8751
Sb 0.0000 0.5000 0.1249
Pt 0.5000 0.5000 0.0000
Pt 0.0000 0.0000 0.0000
Pt 0.5000 0.0000 0.6420
Pt 0.0000 0.5000 0.3580

Calculated values
**Energy relative to the elements, uncorrected**: -903 meV/atom
**Space-group type**: No. 115

Record 2
The following is a PBE calculation of an optimized crystal structure of Ho4SbTe2Pt, from the Alexandria database.

a b c (Å): 4.2334 7.4456 7.6134
angles (deg): 108.92 90.00 90.00
Fractional coordinates of all 8 atoms:
Ho 0.5000 0.2581 0.2325
Ho 0.5000 0.7419 0.7675
Ho 0.0000 0.2837 0.7864
Ho 0.0000 0.7163 0.2136
Sb 0.0000 0.0000 0.0000
Te 0.5000 0.0000 0.5000
Te 0.0000 0.5000 0.5000
Pt 0.5000 0.5000 0.0000

Calculated values
**Energy relative to the elements, uncorrected**: -1217 meV/atom
**Space-group type**: No. 10

Record 3
The following is a PBE calculation of an optimized crystal structure of HoSc2Pt3, from the Alexandria database.

a b c (Å): 3.3269 3.3269 10.2682
angles (deg): 90.00 90.00 90.00
Fractional coordinates of all 6 atoms:
Ho 0.5000 0.5000 0.5000
Sc 0.5000 0.5000 0.8392
Sc 0.5000 0.5000 0.1608
Pt 0.0000 0.0000 0.0000
Pt 0.0000 0.0000 0.6865
Pt 0.0000 0.0000 0.3135

Calculated values
**Energy of formation from the pure elements**: -1.2351 eV per atom
**Space-group type**: No. 123

Record 4
The following is a PBE calculation of an optimized crystal structure of Ho2Sc3Pt4, from the Alexandria database.

a b c (Å): 5.9866 7.4046 8.9290
angles (deg): 90.00 109.59 90.00
Fractional coordinates of all 18 atoms:
Ho 0.0976 0.5910 0.1952
Ho 0.9024 0.4090 0.8048
Ho 0.4024 0.0910 0.8048
Ho 0.5976 0.9090 0.1952
Sc 0.0000 0.0000 0.0000
Sc 0.5000 0.5000 0.0000
Sc 0.5182 0.7500 0.5364
Sc 0.9818 0.2500 0.4636
Sc 0.4818 0.2500 0.4636
Sc 0.0182 0.7500 0.5364
Pt 0.6828 0.7500 0.8657
Pt 0.8172 0.2500 0.1343
Pt 0.3172 0.2500 0.1343
Pt 0.1828 0.7500 0.8657
Pt 0.1679 0.9581 0.3357
Pt 0.8321 0.0419 0.6643
Pt 0.3321 0.4581 0.6643
Pt 0.6679 0.5419 0.3357

Calculated values
**Energy of formation from the pure elements**: -1.0841 eV per atom
**Space-group type**: No. 64
**Energy above the most stable polymorph in this dataset**: 0.117 eV per atom

Record 5
The following is a PBE calculation of an optimized crystal structure of Ho3ScPt3, from the Alexandria database.

a b c (Å): 6.9447 6.9447 6.7879
angles (deg): 84.05 84.05 85.27
Fractional coordinates of all 14 atoms:
Ho 0.6972 0.6972 0.4946
Ho 0.1913 0.8087 0.5000
Ho 0.8087 0.1913 0.5000
Ho 0.2792 0.7208 0.0000
Ho 0.7208 0.2792 0.0000
Ho 0.3028 0.3028 0.5054
Sc 0.7796 0.7796 0.9546
Sc 0.2204 0.2204 0.0454
Pt 0.9469 0.9469 0.2089
Pt 0.9941 0.5008 0.7516
Pt 0.5008 0.9941 0.7516
Pt 0.0059 0.4992 0.2484
Pt 0.4992 0.0059 0.2484
Pt 0.0531 0.0531 0.7911

Calculated values
**Energy of formation from the pure elements**: -1.0357 eV per atom
**Space-group type**: No. 12

Record 6
The following is a PBE calculation of an optimized crystal structure of Ho2ScPt3, from the Alexandria database.

a b c (Å): 3.3521 4.8385 14.8162
angles (deg): 90.00 90.00 90.00
Fractional coordinates of all 12 atoms:
Ho 0.9846 0.0000 0.6664
Ho 0.9846 0.0000 0.3336
Ho 0.0154 0.5000 0.1664
Ho 0.0154 0.5000 0.8336
Sc 0.9856 0.5000 0.5000
Sc 0.0144 0.0000 0.0000
Pt 0.4813 0.5000 0.6511
Pt 0.4897 0.0000 0.5000
Pt 0.4813 0.5000 0.3489
Pt 0.5187 0.0000 0.1511
Pt 0.5103 0.5000 0.0000
Pt 0.5187 0.0000 0.8489

Calculated values
**Energy of formation from the pure elements**: -1.2343 eV per atom
**Space-group type**: No. 59
**Energy above the most stable polymorph in this dataset**: 0.000 eV per atom

Record 7
The following is a PBE calculation of an optimized crystal structure of Ho3ScPt, from the Alexandria database.

a b c (Å): 5.0248 6.3902 8.2327
angles (deg): 90.04 90.00 90.00
Fractional coordinates of all 10 atoms:
Ho 0.3756 0.3938 0.2007
Ho 0.3756 0.8809 0.9993
Ho 0.8756 0.4717 0.4995
Ho 0.8757 0.9590 0.7008
Ho 0.8756 0.4719 0.9022
Ho 0.3756 0.8811 0.4021
Sc 0.3756 0.2656 0.7010
Sc 0.8756 0.0871 0.2006
Pt 0.3757 0.6864 0.7006
Pt 0.8755 0.6664 0.2010

Calculated values
**Energy of formation from the pure elements**: -0.4789 eV per atom
**Space-group type**: No. 59

Record 8
The following is a PBE calculation of an optimized crystal structure of Ho2ScPt9, from the Alexandria database.

a b c (Å): 4.0772 4.0772 12.2217
angles (deg): 90.00 90.00 90.00
Fractional coordinates of all 12 atoms:
Ho 0.0000 0.0000 0.3310
Ho 0.0000 0.0000 0.6690
Sc 0.0000 0.0000 0.0000
Pt 0.5000 0.5000 0.0000
Pt 0.5000 0.5000 0.3300
Pt 0.5000 0.5000 0.6700
Pt 0.5000 0.0000 0.1598
Pt 0.5000 0.0000 0.5000
Pt 0.5000 0.0000 0.8402
Pt 0.0000 0.5000 0.1598
Pt 0.0000 0.5000 0.5000
Pt 0.0000 0.5000 0.8402

Calculated values
**Energy of formation from the pure elements**: -1.0555 eV per atom
**Space-group type**: No. 123

Record 9
The following is a PBE calculation of an optimized crystal structure of Ho5ScPt4, from the Alexandria database.

a b c (Å): 3.9823 7.5565 9.6585
angles (deg): 113.06 101.90 90.00
Fractional coordinates of all 10 atoms:
Ho 0.8386 0.5994 0.6771
Ho 0.8385 0.0777 0.6771
Ho 0.1615 0.9223 0.3229
Ho 0.5000 0.5000 0.0000
Ho 0.1614 0.4006 0.3229
Sc 0.5000 0.0000 0.0000
Pt 0.2841 0.7841 0.5682
Pt 0.0000 0.7628 0.0000
Pt 0.7159 0.2159 0.4318
Pt 0.0000 0.2372 0.0000

Calculated values
**Energy of formation from the pure elements**: -0.9831 eV per atom
**Space-group type**: No. 71

Record 10
The following is a PBE calculation of an optimized crystal structure of HoSc4Pt5, from the Alexandria database.

a b c (Å): 3.2850 3.2850 17.1737
angles (deg): 90.00 90.00 90.00
Fractional coordinates of all 10 atoms:
Ho 0.0000 0.0000 0.0000
Sc 0.0000 0.0000 0.2062
Sc 0.0000 0.0000 0.4023
Sc 0.0000 0.0000 0.5977
Sc 0.0000 0.0000 0.7938
Pt 0.5000 0.5000 0.1131
Pt 0.5000 0.5000 0.3054
Pt 0.5000 0.5000 0.5000
Pt 0.5000 0.5000 0.6946
Pt 0.5000 0.5000 0.8869

Calculated values
**Energy of formation from the pure elements**: -1.2345 eV per atom
**Space-group type**: No. 123

Record 11
The following is a PBE calculation of an optimized crystal structure of Ho2ScPt2, from the Alexandria database.

a b c (Å): 4.0194 7.4630 7.4630
angles (deg): 90.00 90.00 90.00
Fractional coordinates of all 10 atoms:
Ho 0.5000 0.1648 0.6648
Ho 0.5000 0.6648 0.8352
Ho 0.5000 0.8352 0.3352
Ho 0.5000 0.3352 0.1648
Sc 0.0000 0.0000 0.0000
Sc 0.0000 0.5000 0.5000
Pt 0.0000 0.3594 0.8594
Pt 0.0000 0.8594 0.6406
Pt 0.0000 0.6406 0.1406
Pt 0.0000 0.1406 0.3594

Calculated values
**Energy of formation from the pure elements**: -1.0848 eV per atom
**Space-group type**: No. 127

Record 12
The following is a PBE calculation of an optimized crystal structure of Ho2Sc3Pt4, from the Alexandria database.

a b c (Å): 7.4169 7.2914 7.3614
angles (deg): 90.00 90.00 110.51
Fractional coordinates of all 18 atoms:
Ho 0.5679 0.1921 0.3254
Ho 0.9321 0.8079 0.8254
Ho 0.4321 0.8079 0.6746
Ho 0.0679 0.1921 0.1746
Sc 0.0000 0.5000 0.5000
Sc 0.5000 0.5000 0.0000
Sc 0.7464 0.2487 0.8365
Sc 0.7536 0.7513 0.3365
Sc 0.2536 0.7513 0.1635
Sc 0.2464 0.2487 0.6635
Pt 0.8518 0.0849 0.5435
Pt 0.6482 0.9151 0.0435
Pt 0.1482 0.9151 0.4565
Pt 0.3518 0.0849 0.9565
Pt 0.8681 0.4975 0.1379
Pt 0.6319 0.5025 0.6379
Pt 0.1319 0.5025 0.8621
Pt 0.3681 0.4975 0.3621

Calculated values
**Energy of formation from the pure elements**: -1.2008 eV per atom
**Space-group type**: No. 14
**Energy above the most stable polymorph in this dataset**: 0.000 eV per atom

Record 13
The following is a PBE calculation of an optimized crystal structure of Ho3Sc4Pt4, from the Alexandria database.

a b c (Å): 4.2551 7.8469 8.5434
angles (deg): 117.34 104.42 90.00
Fractional coordinates of all 11 atoms:
Ho 0.1094 0.1094 0.2188
Ho 0.8906 0.8906 0.7812
Ho 0.0000 0.5000 0.0000
Sc 0.3278 0.1297 0.6555
Sc 0.6722 0.4742 0.3445
Sc 0.6722 0.8703 0.3445
Sc 0.3278 0.5258 0.6555
Pt 0.2195 0.7195 0.4391
Pt 0.7805 0.2805 0.5609
Pt 0.5000 0.8109 0.0000
Pt 0.5000 0.1891 0.0000

Calculated values
**Energy of formation from the pure elements**: -0.9713 eV per atom
**Space-group type**: No. 71

Record 14
The following is a PBE calculation of an optimized crystal structure of HoSc2Pt4, from the Alexandria database.

a b c (Å): 4.6176 4.6175 13.8197
angles (deg): 90.00 90.00 115.94
Fractional coordinates of all 14 atoms:
Ho 0.4711 0.5289 0.2500
Ho 0.5289 0.4711 0.7500
Sc 0.8358 0.1642 0.5642
Sc 0.1642 0.8358 0.0642
Sc 0.8358 0.1642 0.9358
Sc 0.1642 0.8358 0.4358
Pt 0.1929 0.8071 0.8673
Pt 0.1929 0.8071 0.6327
Pt 0.8071 0.1929 0.1327
Pt 0.8071 0.1929 0.3673
Pt 0.1149 0.8851 0.2500
Pt 0.8851 0.1149 0.7500
Pt 0.5000 0.5000 0.0000
Pt 0.5000 0.5000 0.5000

Calculated values
**Energy of formation from the pure elements**: -1.1243 eV per atom
**Space-group type**: No. 63

Record 15
The following is a PBE calculation of an optimized crystal structure of HoScPt4, from the Alexandria database.

a b c (Å): 3.8955 3.8989 8.1631
angles (deg): 90.00 90.00 90.00
Fractional coordinates of all 6 atoms:
Ho 0.5013 0.4973 0.9981
Sc 0.0013 0.9973 0.4981
Pt 0.5013 0.9973 0.2599
Pt 0.5013 0.9973 0.7364
Pt 0.0013 0.4973 0.7363
Pt 0.0013 0.4973 0.2600

Calculated values
**Energy of formation from the pure elements**: -0.8982 eV per atom
**Space-group type**: No. 123
**Energy above the most stable polymorph in this dataset**: 0.147 eV per atom

Record 16
The following is a PBE calculation of an optimized crystal structure of Ho5ScPt6, from the Alexandria database.

a b c (Å): 4.9036 6.8063 8.4868
angles (deg): 66.36 73.33 90.00
Fractional coordinates of all 12 atoms:
Sc 0.0000 0.0000 0.0000
Ho 0.6664 0.1663 0.6675
Ho 0.3335 0.3332 0.3336
Ho 0.0000 0.5000 0.0000
Ho 0.6665 0.6668 0.6664
Ho 0.3336 0.8337 0.3325
Pt 0.8411 0.5990 0.3180
Pt 0.8410 0.0828 0.3180
Pt 0.5000 0.7590 0.0000
Pt 0.5000 0.2410 0.0000
Pt 0.1590 0.9172 0.6820
Pt 0.1589 0.4010 0.6820

Calculated values
**Energy of formation from the pure elements**: -1.2339 eV per atom
**Space-group type**: No. 12

Record 17
The following is a PBE calculation of an optimized crystal structure of Ho2ScPt3, from the Alexandria database.

a b c (Å): 4.0347 5.6447 6.8403
angles (deg): 114.37 107.15 90.00
Fractional coordinates of all 6 atoms:
Ho 0.6719 0.1719 0.3438
Ho 0.3281 0.8281 0.6562
Sc 0.0000 0.5000 0.0000
Pt 0.3469 0.3469 0.6938
Pt 0.0000 0.0000 0.0000
Pt 0.6531 0.6531 0.3062

Calculated values
**Energy of formation from the pure elements**: -1.0780 eV per atom
**Space-group type**: No. 71
**Energy above the most stable polymorph in this dataset**: 0.156 eV per atom

Record 18
The following is a PBE calculation of an optimized crystal structure of Ho3ScPt12, from the Alexandria database.

a b c (Å): 4.0916 4.0916 16.2951
angles (deg): 90.00 90.00 90.00
Fractional coordinates of all 16 atoms:
Ho 0.0000 0.0000 0.2473
Ho 0.0000 0.0000 0.5000
Ho 0.0000 0.0000 0.7527
Sc 0.0000 0.0000 0.0000
Pt 0.5000 0.5000 0.0000
Pt 0.5000 0.5000 0.2465
Pt 0.5000 0.5000 0.5000
Pt 0.5000 0.5000 0.7535
Pt 0.5000 0.0000 0.1194
Pt 0.5000 0.0000 0.3734
Pt 0.5000 0.0000 0.6266
Pt 0.5000 0.0000 0.8806
Pt 0.0000 0.5000 0.1194
Pt 0.0000 0.5000 0.3734
Pt 0.0000 0.5000 0.6266
Pt 0.0000 0.5000 0.8806

Calculated values
**Energy of formation from the pure elements**: -1.0514 eV per atom
**Space-group type**: No. 123

Record 19
The following is a PBE calculation of an optimized crystal structure of HoSc5Pt6, from the Alexandria database.

a b c (Å): 4.7023 8.1601 8.1601
angles (deg): 119.83 106.75 106.75
Fractional coordinates of all 12 atoms:
Sc 0.5000 0.1674 0.8326
Sc 0.0000 0.3329 0.6671
Sc 0.5000 0.5000 0.5000
Sc 0.0000 0.6671 0.3329
Sc 0.5000 0.8326 0.1674
Ho 0.0000 0.0000 0.0000
Pt 0.2546 0.0829 0.4266
Pt 0.7454 0.5734 0.9171
Pt 0.7639 0.2641 0.2641
Pt 0.2361 0.7359 0.7359
Pt 0.2546 0.4266 0.0829
Pt 0.7454 0.9171 0.5734

Calculated values
**Energy of formation from the pure elements**: -1.2270 eV per atom
**Space-group type**: No. 71

Record 20
The following is a PBE calculation of an optimized crystal structure of HoScPt4, from the Alexandria database.

a b c (Å): 5.3739 5.3739 5.3739
angles (deg): 60.00 60.00 60.00
Fractional coordinates of all 6 atoms:
Sc 0.0000 0.0000 0.0000
Ho 0.2500 0.2500 0.2500
Pt 0.6252 0.6252 0.1245
Pt 0.6252 0.1245 0.6252
Pt 0.6252 0.6252 0.6252
Pt 0.1245 0.6252 0.6252

Calculated values
**Energy of formation from the pure elements**: -1.0455 eV per atom
**Space-group type**: No. 216
**Energy above the most stable polymorph in this dataset**: 0.000 eV per atom

Record 21
The following is a PBE calculation of an optimized crystal structure of HoScPt6, from the Alexandria database.

a b c (Å): 4.0609 4.0609 8.1127
angles (deg): 90.00 90.00 90.00
Fractional coordinates of all 8 atoms:
Ho 0.0000 0.0000 0.0000
Sc 0.0000 0.0000 0.5000
Pt 0.5000 0.5000 0.0000
Pt 0.5000 0.5000 0.5000
Pt 0.5000 0.0000 0.2580
Pt 0.5000 0.0000 0.7420
Pt 0.0000 0.5000 0.2580
Pt 0.0000 0.5000 0.7420

Calculated values
**Energy of formation from the pure elements**: -1.0564 eV per atom
**Space-group type**: No. 123